[1]
SrTcC2: optimized geometry, PBE.

The formation enthalpy at 0 K comes out at 146 kJ/mol of formula units. The value obtained for the energy above the most stable polymorph in this dataset is 0 meV per atom.

The space group is I-42d (No. 122) and the conventional cell measures 5.509, 5.509 and 9.430 Å, with angles of 90.00, 90.00 and 90.00 degrees. Symmetry generates all atoms from Sr at (0.000, 0.000, 0.000), Tc at (0.000, 0.000, 0.500) and C at (0.117, 0.250, 0.625).



[2]
NaCe2Pm: optimized geometry, PBE.

The formation enthalpy at 0 K comes out at 98 kJ/mol of formula units.

The space group is R-3m (No. 166, hexagonal axes) and the conventional cell measures 3.3935, 3.3935 and 38.7724 Å, with angles of 90.00, 90.00 and 120.00 degrees. Symmetry generates all atoms from Na at (0.0000, 0.0000, 0.0000), Ce at (0.0000, 0.0000, 0.0904) and Pm at (0.0000, 0.0000, 0.5000).



[3]
Mg2TlMo: optimized geometry, PBE.

The formation enthalpy at 0 K comes out at 156 kJ/mol of formula units. The value obtained for the energy above the most stable polymorph in this dataset is 122 meV per atom.

The space group is P4mm (No. 99) and the conventional cell measures 2.948, 2.948 and 9.499 Å, with angles of 90.00, 90.00 and 90.00 degrees. Symmetry generates all atoms from Mg at (0.000, 0.000, 0.000), Mg at (0.500, 0.500, 0.260), Tl at (0.500, 0.500, 0.726) and Mo at (0.000, 0.000, 0.480).